The following is a DFT calculation (PBE+U) of Mn7TlO12 after structural relaxation.

```
data_Mn7TlO12
_cell_length_a 7.555
_cell_length_b 7.555
_cell_length_c 7.555
_cell_angle_alpha 90.00
_cell_angle_beta 90.00
_cell_angle_gamma 90.00
_symmetry_space_group_name_H-M 'I m -3'
_symmetry_Int_Tables_number 204
_symmetry_space_group_name_Hall '-I 2 2 3'
loop_
_atom_site_label
_atom_site_type_symbol
_atom_site_fract_x
_atom_site_fract_y
_atom_site_fract_z
_atom_site_occupancy
Mn1 Mn 0.000 0.000 0.500 1
Mn2 Mn 0.250 0.250 0.250 1
Tl1 Tl 0.000 0.000 0.000 1
O1 O 0.000 0.313 0.180 1
```

**Calculated total energy**: -7.125 eV/atom
**DOS at the Fermi energy**: 8.45 states/eV/cell